No. 1
# PBE-GGA TaRu4Rh, relaxed
# raw total energy	-220.43	eV for the cell shown
data_TaRu4Rh
_chemical_formula_sum 'Ta4 Ru16 Rh4'
_cell_length_a 7.160
_cell_length_b 7.160
_cell_length_c 7.160
_cell_angle_alpha 90.00
_cell_angle_beta 90.00
_cell_angle_gamma 90.00
_symmetry_space_group_name_H-M 'F -4 3 m'
_symmetry_Int_Tables_number 216
_symmetry_space_group_name_Hall 'F -4 2 3'
loop_
_atom_site_label
_atom_site_type_symbol
_atom_site_fract_x
_atom_site_fract_y
_atom_site_fract_z
Ta1 Ta 0.000 0.000 0.000
Ru1 Ru 0.124 0.124 0.376
Rh1 Rh 0.250 0.250 0.750


No. 2
# PBE-GGA Sr2F13, relaxed
# uncorrected formation energy	-1.4493	eV per atom
data_Sr2F13
_chemical_formula_sum 'Sr2 F13'
_cell_length_a 4.304
_cell_length_b 8.225
_cell_length_c 8.317
_cell_angle_alpha 114.56
_cell_angle_beta 104.54
_cell_angle_gamma 91.99
_symmetry_space_group_name_H-M 'P -1'
_symmetry_Int_Tables_number 2
_symmetry_space_group_name_Hall '-P 1'
loop_
_atom_site_label
_atom_site_type_symbol
_atom_site_fract_x
_atom_site_fract_y
_atom_site_fract_z
Sr1 Sr 0.161 0.171 0.425
F1 F 0.060 0.169 0.716
F2 F 0.107 0.927 0.930
F3 F 0.234 0.732 0.784
F4 F 0.273 0.638 0.420
F5 F 0.381 0.013 0.638
F6 F 0.430 0.553 0.954
F7 F 0.500 0.500 0.500


No. 3
# PBE-GGA PmIn2Au, relaxed
# polymorph energy (0 for the lowest one)	62.2	meV/atom
data_PmIn2Au
_chemical_formula_sum 'Pm1 In2 Au1'
_cell_length_a 4.562
_cell_length_b 4.562
_cell_length_c 4.643
_cell_angle_alpha 90.00
_cell_angle_beta 90.00
_cell_angle_gamma 90.00
_symmetry_space_group_name_H-M 'P 4/m m m'
_symmetry_Int_Tables_number 123
_symmetry_space_group_name_Hall '-P 4 2'
loop_
_atom_site_label
_atom_site_type_symbol
_atom_site_fract_x
_atom_site_fract_y
_atom_site_fract_z
Pm1 Pm 0.000 0.000 0.000
In1 In 0.000 0.500 0.500
Au1 Au 0.500 0.500 0.000


Number 3 is which compound?
PmIn2Au


What did the third record say?
# PBE-GGA PmIn2Au, relaxed
# polymorph energy (0 for the lowest one)	62.2	meV/atom
data_PmIn2Au
_chemical_formula_sum 'Pm1 In2 Au1'
_cell_length_a 4.562
_cell_length_b 4.562
_cell_length_c 4.643
_cell_angle_alpha 90.00
_cell_angle_beta 90.00
_cell_angle_gamma 90.00
_symmetry_space_group_name_H-M 'P 4/m m m'
_symmetry_Int_Tables_number 123
_symmetry_space_group_name_Hall '-P 4 2'
loop_
_atom_site_label
_atom_site_type_symbol
_atom_site_fract_x
_atom_site_fract_y
_atom_site_fract_z
Pm1 Pm 0.000 0.000 0.000
In1 In 0.000 0.500 0.500
Au1 Au 0.500 0.500 0.000